DFT (PBE) results for a relaxed structure of Ba4PAu2Br.

The value obtained for the density is 5.7 g/cm³. The calculation puts the total energy at -29.59 eV for the cell shown. The value obtained for the magnetization is 0.00 μB/cell.

The structure belongs to space group P2/m (No. 10); the cell edges are 8.1981, 4.6942 and 8.3879 Å and the angles 90.00°, 108.08° and 90.00°. The inequivalent atoms are Ba at (0.2257, 0.0000, 0.2391), Ba at (0.2294, 0.5000, 0.7512), P at (0.0000, 0.5000, 0.0000), Au at (0.0000, 0.0000, 0.5000), Au at (0.5000, 0.5000, 0.5000) and Br at (0.5000, 0.0000, 0.0000).